The following is a GGA-PBE calculation of an optimized crystal structure of NaY2Co, from Alexandria.

Properties
Raw total energy, eV per cell: -21.43
Offset from the most stable computed form, meV per atom: 0

POSCAR file:
```
NaY2Co
1.0
3.3707 0.0000 0.0000
0.0000 3.3707 0.0000
0.0000 0.0000 9.4828
Na Y Co
1 2 1
direct
0.0000 0.0000 0.0000
0.5000 0.5000 0.3293
0.5000 0.5000 0.6707
0.0000 0.0000 0.5000
```